i.
MgZr2Pa: optimized geometry, PBE.

Calculated values
- Density: 7.9 g/cm³
- Fermi-level density of states: 1.33 states/eV per atom
- Spin magnetization: 0.0 Bohr magnetons per cell

a b c (Å): 3.6582 3.6582 6.9163
angles (deg): 90.00 90.00 90.00
Space group P4/mmm (No. 123)
Inequivalent atoms, fractional coordinates:
1 Mg 0.0000 0.0000 0.0000
2 Zr 0.5000 0.5000 0.2678
3 Pa 0.0000 0.0000 0.5000


ii.
MgZr2Pa: optimized geometry, PBE.

Calculated values
- Density: 8.0 g/cm³
- Fermi-level density of states: 1.64 states/eV per atom
- Spin magnetization: 0.0 Bohr magnetons per cell

a b c (Å): 7.1493 7.1493 7.1493
angles (deg): 90.00 90.00 90.00
Space group Fm-3m (No. 225)
Inequivalent atoms, fractional coordinates:
1 Mg 0.0000 0.0000 0.0000
2 Zr 0.2500 0.2500 0.2500
3 Pa 0.0000 0.0000 0.5000


iii.
MgZr2Pa: optimized geometry, PBE.

Calculated values
- Density: 7.6 g/cm³
- Fermi-level density of states: 1.56 states/eV per atom
- Spin magnetization: 0.0 Bohr magnetons per cell

a b c (Å): 3.2302 3.2302 31.9009
angles (deg): 90.00 90.00 120.00
Space group R-3m (No. 166, hexagonal axes)
Inequivalent atoms, fractional coordinates:
1 Mg 0.0000 0.0000 0.0000
2 Zr 0.0000 0.0000 0.2503
3 Pa 0.0000 0.0000 0.5000


iv.
MgZr2Pa: optimized geometry, PBE.

Calculated values
- Density: 7.7 g/cm³
- Fermi-level density of states: 1.02 states/eV per atom
- Spin magnetization: 0.0 Bohr magnetons per cell

a b c (Å): 3.1906 3.1906 32.1742
angles (deg): 90.00 90.00 120.00
Space group R3m (No. 160, hexagonal axes)
Inequivalent atoms, fractional coordinates:
1 Mg 0.0000 0.0000 0.0000
2 Zr 0.0000 0.0000 0.4162
3 Zr 0.0000 0.0000 0.5837
4 Pa 0.0000 0.0000 0.1668


Top of the stability list: iv, leading by 72 meV/atom.